No. 1
A plane-wave DFT calculation with PBEsol was carried out for LiNbIN2 after structural relaxation.

extended XYZ file:
```
5
Lattice="4.0189 0.0000 0.0000 0.0000 4.0189 0.0000 0.0000 0.0000 5.8351" Properties=species:S:1:pos:R:3 pbc="T T T"
I 0.0000 0.0000 2.9175
Nb 0.0000 0.0000 0.0000
Li 2.0094 2.0094 2.9175
N 0.0000 2.0094 0.0000
N 2.0094 0.0000 0.0000
```

Raw formation energy: -88 meV/atom
Crystal system: tetragonal

***

No. 2
A plane-wave DFT calculation with PBEsol was carried out for SbTeBr2 after structural relaxation.

extended XYZ file:
```
4
Lattice="4.6296 0.0000 0.0000 0.0000 4.6646 0.0000 0.0000 0.0000 4.6646" Properties=species:S:1:pos:R:3 pbc="T T T"
Sb 2.3148 2.3323 2.3323
Te 2.3148 0.0000 0.0000
Br 0.0000 0.0000 2.3323
Br 0.0000 2.3323 0.0000
```

Raw formation energy: 163 meV/atom
Crystal system: tetragonal
ΔE to the lowest computed polymorph: 0.85 eV/f.u.

***

No. 3
A plane-wave DFT calculation with PBEsol was carried out for TlSi2Tc after structural relaxation.

extended XYZ file:
```
4
Lattice="3.2327 0.0000 0.0000 0.0000 4.4555 0.0000 0.0000 0.0000 4.4555" Properties=species:S:1:pos:R:3 pbc="T T T"
Si 0.0000 0.0000 2.2278
Si 0.0000 2.2278 0.0000
Tc 1.6164 2.2278 2.2278
Tl 1.6164 0.0000 0.0000
```

Raw formation energy: 603 meV/atom
Crystal system: tetragonal
ΔE to the lowest computed polymorph: 1.98 eV/f.u.

***

No. 4
A plane-wave DFT calculation with PBEsol was carried out for ZnSiAs3 after structural relaxation.

extended XYZ file:
```
5
Lattice="4.7113 0.0000 0.0000 0.0000 4.7113 0.0000 0.0000 0.0000 4.7113" Properties=species:S:1:pos:R:3 pbc="T T T"
As 0.0000 2.3556 0.0000
As 0.0000 0.0000 2.3556
As 2.3556 0.0000 0.0000
Si 0.0000 0.0000 0.0000
Zn 2.3556 2.3556 2.3556
```

Raw formation energy: 720 meV/atom
Crystal system: cubic

***

No. 5
A plane-wave DFT calculation with PBEsol was carried out for Y2Au after structural relaxation.

extended XYZ file:
```
9
Lattice="-2.2367 -3.7667 1.9649 6.2026 -4.0459 -0.6952 -1.1950 3.9408 6.1941" Properties=species:S:1:pos:R:3 pbc="T T T"
Au -1.1184 -1.8833 0.9825
Au 3.7367 -1.3836 1.6012
Au 1.2709 1.2786 3.8977
Y -0.3111 1.0260 1.6127
Y -1.8265 0.4519 4.6529
Y 3.7038 -0.0777 4.0672
Y 1.6149 -1.0534 -0.1810
Y 0.9219 -1.9262 3.2228
Y 2.5571 -4.2808 0.5705
```

Crystal system: hexagonal
Formation enthalpy at 0 K: -0.61 eV/atom

***

No. 6
A plane-wave DFT calculation with PBEsol was carried out for CrMoIO2 after structural relaxation.

extended XYZ file:
```
5
Lattice="-3.4891 -1.4100 -0.8349 0.8237 -3.2070 1.9737 -2.1400 2.4294 4.8404" Properties=species:S:1:pos:R:3 pbc="T T T"
I -1.0700 1.2147 2.4202
Cr -2.4027 -1.0938 2.9896
Mo 0.0000 0.0000 0.0000
O 0.4118 -1.6035 0.9869
O -1.7445 -0.7050 -0.4175
```

Raw formation energy: -576 meV/atom
Crystal system: tetragonal
ΔE to the lowest computed polymorph: 0.00 eV/f.u.

***

No. 7
A plane-wave DFT calculation with PBEsol was carried out for ErH4Pd after structural relaxation.

extended XYZ file:
```
12
Lattice="-1.0028 -2.1758 2.7451 1.7203 -3.8867 -2.4521 5.7522 1.8305 1.1342" Properties=species:S:1:pos:R:3 pbc="T T T"
H 4.3140 -4.4218 0.4892
H 2.9201 -1.5369 -0.1515
H 3.5496 -2.6950 1.5786
H 2.1558 0.1898 0.9380
H 1.7252 -3.8705 -0.0195
H 4.7446 -0.3615 1.4467
H 0.0000 0.0000 0.0000
H 0.8602 -1.9433 -1.2261
Pd 4.1347 -1.4647 2.7675
Pd 2.3350 -2.7672 -1.3403
Er 1.3826 -1.8539 1.4536
Er 5.0871 -2.3780 -0.0264
```

Calculated total energy: -54.07 eV/cell
Crystal system: orthorhombic

***

No. 8
A plane-wave DFT calculation with PBEsol was carried out for SbW3 after structural relaxation.

extended XYZ file:
```
4
Lattice="-0.4708 1.4678 3.7518 -3.9373 -0.9679 -0.1154 0.8535 -3.6553 1.5372" Properties=species:S:1:pos:R:3 pbc="T T T"
Sb 0.0000 0.0000 0.0000
W -1.5419 -2.3116 0.7109
W 0.1913 -1.0937 2.6445
W -2.2040 0.2500 1.8182
```

Raw formation energy: 731 meV/atom
Crystal system: cubic

***

No. 9
A plane-wave DFT calculation with PBEsol was carried out for TmRh2 after structural relaxation.

extended XYZ file:
```
6
Lattice="5.2182 0.0000 0.0000 2.6091 4.5191 0.0000 2.6091 1.5064 4.2607" Properties=species:S:1:pos:R:3 pbc="T T T"
Tm 2.6091 1.5064 1.0652
Tm 0.0000 0.0000 0.0000
Rh 5.2182 3.0128 0.5326
Rh 5.2182 1.5064 2.6629
Rh 6.5228 3.7659 2.6629
Rh 3.9137 3.7659 2.6629
```

Crystal system: cubic
Formation enthalpy at 0 K: -0.76 eV/atom

***

No. 10
A plane-wave DFT calculation with PBEsol was carried out for TlFeIr2Ru after structural relaxation.

extended XYZ file:
```
5
Lattice="-1.4159 2.7594 3.3642 -4.3327 -0.0898 -1.7499 -0.9893 -3.7270 2.6406" Properties=species:S:1:pos:R:3 pbc="T T T"
Ru 0.0000 0.0000 0.0000
Tl -3.3689 -0.5287 2.1275
Ir -0.4946 -1.8635 1.3203
Ir -2.1663 -0.0449 -0.8749
Fe -0.7080 1.3797 1.6821
```

Crystal system: tetragonal
Formation enthalpy at 0 K: 1.54 eV/atom